The following is a DFT calculation (GGA-PBE) of a relaxed In2IrSe crystal.

Properties
* V: 22.08 A^3/atom
* total magnetic moment: 0.00 μB per cell
* D(E_F): 3.28 states/eV/f.u.
* ΔE_f (raw): 0.14 eV per atom

Cell and atoms, written as CIF:
```
data_In2IrSe
_chemical_formula_sum 'In2 Ir1 Se1'
_space_group_name_H-M_alt 'P 4 m m'
_space_group_IT_number 99
_space_group_name_Hall 'P 4 -2'
_cell_length_a 3.2285
_cell_length_b 3.2285
_cell_length_c 8.4741
_cell_angle_alpha 90.00
_cell_angle_beta 90.00
_cell_angle_gamma 90.00
loop_
_atom_site_label
_atom_site_type_symbol
_atom_site_fract_x
_atom_site_fract_y
_atom_site_fract_z
In1 In 0.0000 0.0000 0.0000
In2 In 0.5000 0.5000 0.2923
Ir1 Ir 0.0000 0.0000 0.5321
Se1 Se 0.5000 0.5000 0.6705
```